No. 1
A plane-wave DFT calculation with PBE was carried out for Ta2CrBBr after structural relaxation.

Cell lengths 4.552, 4.552, 3.801 Å; angles 90.00, 90.00, 90.00 degrees
Space group P4/mmm (No. 123)
One atom of each set of equivalent atoms:
Ta1 0.000 0.500 0.000 (multiplicity 2)
Cr1 0.000 0.000 0.500 (multiplicity 1)
B1 0.000 0.000 0.000 (multiplicity 1)
Br1 0.500 0.500 0.500 (multiplicity 1)

Output
Formation energy from raw total energies in eV/atom: 0.688

No. 2
A plane-wave DFT calculation with PBE was carried out for Cs5Mg3Hg12 after structural relaxation.

Cell lengths 19.770, 19.770, 19.770 Å; angles 90.00, 90.00, 90.00 degrees
Space group Ia-3d (No. 230)
One atom of each set of equivalent atoms:
Cs1 0.000 0.000 0.000 (multiplicity 16)
Cs2 0.000 0.250 0.375 (multiplicity 24)
Mg1 0.000 0.250 0.125 (multiplicity 24)
Hg1 0.007 0.099 0.147 (multiplicity 96)

Output
Energy relative to the elements in eV/atom: -0.059

No. 3
A plane-wave DFT calculation with PBE was carried out for Y5Ho2Er12 after structural relaxation.

Cell lengths 5.974, 9.646, 11.153 Å; angles 70.09, 82.71, 88.88 degrees
Space group P-1 (No. 2)
One atom of each set of equivalent atoms:
Y1 0.000 0.000 0.000 (multiplicity 1)
Y2 0.103 0.962 0.344 (multiplicity 2)
Y3 0.500 0.453 0.169 (multiplicity 2)
Ho1 0.283 0.568 0.420 (multiplicity 2)
Er1 0.040 0.686 0.656 (multiplicity 2)
Er2 0.073 0.315 0.043 (multiplicity 2)
Er3 0.163 0.318 0.728 (multiplicity 2)
Er4 0.385 0.906 0.787 (multiplicity 2)
Er5 0.426 0.819 0.105 (multiplicity 2)
Er6 0.429 0.181 0.487 (multiplicity 2)

Output
Energy relative to the elements in eV/atom: 0.122
Relative energy among the computed polymorphs in eV/f.u.: 0.000

No. 4
A plane-wave DFT calculation with PBE was carried out for As2Pt after structural relaxation.

Cell lengths 2.870, 3.462, 11.443 Å; angles 90.00, 90.00, 90.00 degrees
Space group Immm (No. 71)
One atom of each set of equivalent atoms:
As1 0.000 0.000 0.135 (multiplicity 4)
Pt1 0.000 0.000 0.500 (multiplicity 2)

Output
Energy relative to the elements in eV/atom: -0.004

No. 5
A plane-wave DFT calculation with PBE was carried out for AsP3N after structural relaxation.

Cell lengths 4.768, 4.768, 4.768 Å; angles 90.00, 90.00, 90.00 degrees
Space group Pm-3m (No. 221)
One atom of each set of equivalent atoms:
As1 0.000 0.000 0.000 (multiplicity 1)
P1 0.000 0.000 0.500 (multiplicity 3)
N1 0.500 0.500 0.500 (multiplicity 1)

Output
Formation energy from raw total energies in eV/atom: 2.124
Relative energy among the computed polymorphs in eV/f.u.: 5.779

No. 6
A plane-wave DFT calculation with PBE was carried out for AlW2Cl after structural relaxation.

Cell lengths 4.173, 4.173, 7.454 Å; angles 90.00, 90.00, 90.00 degrees
Space group I-4m2 (No. 119)
One atom of each set of equivalent atoms:
Al1 0.000 0.000 0.000 (multiplicity 2)
W1 0.000 0.000 0.500 (multiplicity 2)
W2 0.000 0.500 0.250 (multiplicity 2)
Cl1 0.000 0.500 0.750 (multiplicity 2)

Output
Formation energy from raw total energies in eV/atom: 0.777
Relative energy among the computed polymorphs in eV/f.u.: 2.172

Q: Number 6 is which compound?
A: AlW2Cl